No. 1
VASP calculation (GGA-PBE) on a relaxed structure of Pm2Nd3Al.

Properties
- DFT formation energy: -7.3 kJ/mol of atoms
- SG: Cmmm
- M_tot: 0.000 μB/cell

Cell: 4.9196 4.9270 8.1048 Å, 107.70 90.00 90.00°
With the nearest neighbours (Å) after each atom.
Element x y z (fractional)
Pm (0.0000, 0.6601, 0.3202)  8 Nd 3.48-3.71, 2 Al 3.49, 2 Pm 3.71
Pm (0.0000, 0.3399, 0.6798)  8 Nd 3.48-3.71, 2 Al 3.49, 2 Pm 3.71
Nd (0.5000, 0.5000, 0.0000)  4 Al 3.48, 4 Nd 3.49, 4 Pm 3.49
Nd (0.5000, 0.8403, 0.6806)  6 Pm 3.48-3.71, 2 Al 3.48, 4 Nd 3.49-3.72
Nd (0.5000, 0.1597, 0.3194)  6 Pm 3.48-3.71, 2 Al 3.48, 4 Nd 3.49-3.72
Al (0.0000, 0.0000, 0.0000)  8 Nd 3.48, 4 Pm 3.49

No. 2
VASP calculation (GGA-PBE) on a relaxed structure of Pm2NdAl6.

Properties
- DFT formation energy: -22.3 kJ/mol of atoms
- SG: Immm
- Offset from the most stable computed form: 252 meV per atom
- M_tot: 0.000 μB/cell

Cell: 4.4814 8.0426 8.0426 Å, 54.24 73.82 73.82°
With the nearest neighbours (Å) after each atom.
Element x y z (fractional)
Al (0.8173, 0.8745, 0.4909)  2 Al 2.64-2.81
Al (0.8173, 0.4909, 0.8745)  2 Al 2.64-2.81
Al (0.1827, 0.5091, 0.1255)  2 Al 2.64-2.81
Al (0.1827, 0.1255, 0.5091)  2 Al 2.64-2.81
Al (0.0000, 0.8144, 0.1856)  3 Al 2.64-2.72
Al (0.0000, 0.1856, 0.8144)  3 Al 2.64-2.72
Pm (0.3747, 0.1253, 0.1253)  10 Al 2.97-3.28
Pm (0.6253, 0.8747, 0.8747)  10 Al 2.97-3.28
Nd (0.5000, 0.5000, 0.5000)  4 Al 3.21

No. 3
VASP calculation (GGA-PBE) on a relaxed structure of PmNd4Al5.

Properties
- DFT formation energy: -34.4 kJ/mol of atoms
- SG: P4/mmm
- M_tot: 0.000 μB/cell

Cell: 3.7266 3.7266 18.5718 Å, 90.00 90.00 90.00°
With the nearest neighbours (Å) after each atom.
Element x y z (fractional)
Al (0.5000, 0.5000, 0.7006)  8 Nd 3.23
Al (0.5000, 0.5000, 0.9018)  4 Pm 3.20, 4 Nd 3.23
Al (0.5000, 0.5000, 0.5000)  8 Nd 3.23
Al (0.5000, 0.5000, 0.0982)  4 Pm 3.20, 4 Nd 3.23
Al (0.5000, 0.5000, 0.2994)  8 Nd 3.23
Nd (0.0000, 0.0000, 0.8010)  8 Al 3.23
Nd (0.0000, 0.0000, 0.3997)  8 Al 3.23
Nd (0.0000, 0.0000, 0.6003)  8 Al 3.23
Nd (0.0000, 0.0000, 0.1990)  8 Al 3.23
Pm (0.0000, 0.0000, 0.0000)  8 Al 3.20

No. 4
VASP calculation (GGA-PBE) on a relaxed structure of Pm2NdAl.

Properties
- DFT formation energy: -3.9 kJ/mol of atoms
- SG: R3m
- Offset from the most stable computed form: 128 meV per atom
- M_tot: 0.000 μB/cell

Cell: 3.6938 3.6938 10.8937 Å, 80.25 80.25 60.03°
With the nearest neighbours (Å) after each atom.
Element x y z (fractional)
Pm (0.2621, 0.2621, 0.2134)  3 Al 3.12
Pm (0.0714, 0.0714, 0.7859)  3 Al 3.13
Al (0.6664, 0.6664, 0.0009)  6 Pm 3.12-3.13
Nd (0.5002, 0.5002, 0.4997)  6 Nd 3.69-3.70, 6 Pm 3.73